# 1
Here is an optimized crystal structure of La2Pu3Rh4 from the Alexandria database. Energies are from GGA-PBE.

Structure (POSCAR):
```
La2Pu3Rh4
1.0
3.068 -8.150 0.000
3.068 8.150 0.000
0.000 0.000 8.237
La Pu Rh
4 6 8
Direct
0.110 0.890 0.904
0.390 0.610 0.404
0.610 0.390 0.596
0.890 0.110 0.096
0.000 0.000 0.500
0.042 0.458 0.750
0.458 0.042 0.250
0.500 0.500 0.000
0.542 0.958 0.750
0.958 0.542 0.250
0.183 0.817 0.550
0.211 0.289 0.750
0.289 0.211 0.250
0.317 0.683 0.050
0.683 0.317 0.950
0.711 0.789 0.750
0.789 0.711 0.250
0.817 0.183 0.450
```

Output
* crystal system: orthorhombic
* ΔH_f (0 K): -10.86 kcal/mol of atoms
* total magnetization: 12.5 μB per cell



# 2
Here is an optimized crystal structure of BaTaSn2 from the Alexandria database. Energies are from GGA-PBE.

Structure (POSCAR):
```
BaTaSn2
1.0
7.585 0.000 0.000
0.000 7.585 0.000
0.000 0.000 7.585
Ba Ta Sn
4 4 8
Direct
0.000 0.000 0.000
0.000 0.500 0.500
0.500 0.000 0.500
0.500 0.500 0.000
0.000 0.000 0.500
0.000 0.500 0.000
0.500 0.000 0.000
0.500 0.500 0.500
0.250 0.250 0.250
0.250 0.250 0.750
0.250 0.750 0.250
0.250 0.750 0.750
0.750 0.250 0.250
0.750 0.250 0.750
0.750 0.750 0.250
0.750 0.750 0.750
```

Output
* crystal system: cubic
* ΔH_f (0 K): 8.23 kcal/mol of atoms
* total magnetization: 9.0 μB per cell
* E above lowest polymorph: 0.234 eV/f.u.



# 3
Here is an optimized crystal structure of RbTiGa from the Alexandria database. Energies are from GGA-PBE.

Structure (POSCAR):
```
RbTiGa
1.0
15.474 0.000 0.000
0.000 3.975 0.000
-3.734 0.000 6.634
Rb Ti Ga
4 4 4
Direct
0.155 0.000 0.155
0.345 0.500 0.845
0.655 0.500 0.155
0.845 0.000 0.845
0.087 0.000 0.586
0.413 0.500 0.414
0.587 0.500 0.586
0.913 0.000 0.414
0.000 0.500 0.317
0.000 0.500 0.683
0.500 0.000 0.317
0.500 0.000 0.683
```

Output
* crystal system: monoclinic
* ΔH_f (0 K): 7.96 kcal/mol of atoms
* total magnetization: 1.7 μB per cell
* E above lowest polymorph: 1.023 eV/f.u.



# 4
Here is an optimized crystal structure of Rb2HgBAu from the Alexandria database. Energies are from GGA-PBE.

Structure (POSCAR):
```
Rb2HgBAu
1.0
6.525 0.000 0.000
0.000 6.525 0.000
0.000 0.000 4.189
Rb Hg B Au
2 1 1 1
Direct
0.000 0.500 0.000
0.500 0.000 0.000
0.000 0.000 0.500
0.000 0.000 0.000
0.500 0.500 0.500
```

Output
* crystal system: tetragonal
* ΔH_f (0 K): 7.29 kcal/mol of atoms
* total magnetization: 0.0 μB per cell



# 5
Here is an optimized crystal structure of GdDySnPd from the Alexandria database. Energies are from GGA-PBE.

Structure (POSCAR):
```
GdDySnPd
1.0
7.326 0.000 0.000
0.000 7.326 0.000
0.000 0.000 7.326
Gd Dy Sn Pd
4 4 4 4
Direct
0.000 0.000 0.000
0.000 0.500 0.500
0.500 0.000 0.500
0.500 0.500 0.000
0.000 0.000 0.500
0.000 0.500 0.000
0.500 0.000 0.000
0.500 0.500 0.500
0.250 0.250 0.750
0.250 0.750 0.250
0.750 0.250 0.250
0.750 0.750 0.750
0.250 0.250 0.250
0.250 0.750 0.750
0.750 0.250 0.750
0.750 0.750 0.250
```

Output
* crystal system: cubic
* ΔH_f (0 K): -17.01 kcal/mol of atoms
* total magnetization: 29.0 μB per cell



# 6
Here is an optimized crystal structure of SrScPb from the Alexandria database. Energies are from GGA-PBE.

Structure (POSCAR):
```
SrScPb
1.0
3.700 0.000 0.000
-1.850 3.204 0.000
0.000 0.000 8.198
Sr Sc Pb
1 1 1
Direct
0.000 0.000 0.000
0.333 0.667 0.623
0.667 0.333 0.338
```

Output
* crystal system: trigonal
* ΔH_f (0 K): -0.39 kcal/mol of atoms
* total magnetization: 0.7 μB per cell



# 7
Here is an optimized crystal structure of Tm5GaSe5 from the Alexandria database. Energies are from GGA-PBE.

Structure (POSCAR):
```
Tm5GaSe5
1.0
6.435 -2.852 0.000
6.435 2.852 0.000
-2.553 0.000 7.662
Tm Ga Se
5 1 5
Direct
0.000 0.000 0.000
0.338 0.338 0.669
0.341 0.341 0.171
0.659 0.659 0.829
0.662 0.662 0.331
0.500 0.500 0.000
0.170 0.170 0.837
0.173 0.173 0.335
0.500 0.500 0.500
0.827 0.827 0.665
0.830 0.830 0.163
```

Output
* raw formation energy: -1.60 eV per atom
* crystal system: monoclinic
* total magnetization: 0.0 μB per cell



# 8
Here is an optimized crystal structure of Y2BeIr2 from the Alexandria database. Energies are from GGA-PBE.

Structure (POSCAR):
```
Y2BeIr2
1.0
5.037 -2.723 0.000
5.037 2.723 0.000
-1.560 0.000 7.016
Y Be Ir
4 2 4
Direct
0.013 0.281 0.147
0.281 0.013 0.647
0.719 0.987 0.353
0.987 0.719 0.853
0.408 0.592 0.250
0.592 0.408 0.750
0.239 0.505 0.489
0.495 0.761 0.011
0.505 0.239 0.989
0.761 0.495 0.511
```

Output
* crystal system: monoclinic
* ΔH_f (0 K): -16.90 kcal/mol of atoms
* total magnetization: 0.0 μB per cell
* E above lowest polymorph: 0.000 eV/f.u.



# 9
Here is an optimized crystal structure of SiNiAu2 from the Alexandria database. Energies are from GGA-PBE.

Structure (POSCAR):
```
SiNiAu2
1.0
3.003 0.000 0.000
-1.501 2.600 0.000
0.000 0.000 24.286
Si Ni Au
3 3 6
Direct
0.000 0.000 0.000
0.333 0.667 0.667
0.667 0.333 0.333
0.000 0.000 0.500
0.333 0.667 0.167
0.667 0.333 0.833
0.000 0.000 0.251
0.000 0.000 0.749
0.333 0.667 0.416
0.333 0.667 0.918
0.667 0.333 0.082
0.667 0.333 0.584
```

Output
* raw formation energy: 0.20 eV per atom
* crystal system: trigonal
* total magnetization: 0.8 μB per cell



# 10
Here is an optimized crystal structure of PmSm2Cd6 from the Alexandria database. Energies are from GGA-PBE.

Structure (POSCAR):
```
PmSm2Cd6
1.0
-1.709 4.399 7.731
1.709 -4.399 7.731
1.709 4.399 -7.731
Pm Sm Cd
1 2 6
Direct
0.000 0.000 0.000
0.349 0.849 0.500
0.651 0.151 0.500
0.003 0.332 0.672
0.328 0.500 0.828
0.340 0.668 0.672
0.660 0.332 0.328
0.672 0.500 0.172
0.997 0.668 0.328
```

Output
* crystal system: orthorhombic
* ΔH_f (0 K): -6.20 kcal/mol of atoms
* total magnetization: 0.0 μB per cell
* E above lowest polymorph: 0.630 eV/f.u.



# 11
Here is an optimized crystal structure of Sb2MoPb from the Alexandria database. Energies are from GGA-PBE.

Structure (POSCAR):
```
Sb2MoPb
1.0
6.424 0.000 0.000
0.000 8.205 0.000
0.000 0.000 3.668
Sb Mo Pb
4 2 2
Direct
0.250 0.250 0.000
0.250 0.750 0.000
0.750 0.250 0.000
0.750 0.750 0.000
0.000 0.000 0.500
0.500 0.500 0.500
0.000 0.500 0.500
0.500 0.000 0.500
```

Output
* raw formation energy: 0.63 eV per atom
* crystal system: orthorhombic
* total magnetization: 3.8 μB per cell



# 12
Here is an optimized crystal structure of ErMg3Sc from the Alexandria database. Energies are from GGA-PBE.

Structure (POSCAR):
```
ErMg3Sc
1.0
5.378 0.000 0.000
0.000 6.330 0.000
-2.398 0.000 7.365
Er Mg Sc
2 6 2
Direct
0.124 0.250 0.194
0.876 0.750 0.806
0.095 0.750 0.254
0.308 0.507 0.619
0.308 0.993 0.619
0.692 0.007 0.381
0.692 0.493 0.381
0.905 0.250 0.746
0.473 0.750 0.026
0.527 0.250 0.974
```

Output
* crystal system: monoclinic
* ΔH_f (0 K): 1.72 kcal/mol of atoms
* total magnetization: 0.0 μB per cell
* E above lowest polymorph: 0.000 eV/f.u.



# 13
Here is an optimized crystal structure of HfZrTc from the Alexandria database. Energies are from GGA-PBE.

Structure (POSCAR):
```
HfZrTc
1.0
4.537 0.000 0.000
-2.269 3.929 0.000
0.000 0.000 11.094
Hf Zr Tc
3 3 3
Direct
0.000 0.000 0.000
0.333 0.667 0.667
0.667 0.333 0.333
0.000 0.000 0.500
0.333 0.667 0.167
0.667 0.333 0.833
0.000 0.000 0.250
0.333 0.667 0.917
0.667 0.333 0.583
```

Output
* crystal system: trigonal
* ΔH_f (0 K): -0.26 kcal/mol of atoms
* total magnetization: 0.0 μB per cell
* E above lowest polymorph: 0.850 eV/f.u.



# 14
Here is an optimized crystal structure of NaAuSCl from the Alexandria database. Energies are from GGA-PBE.

Structure (POSCAR):
```
NaAuSCl
1.0
3.976 0.000 0.000
1.978 3.535 0.000
1.900 0.668 7.130
Na Au S Cl
1 1 1 1
Direct
0.000 0.000 0.000
0.878 0.779 0.440
0.243 0.136 0.350
0.735 0.687 0.834
```

Output
* raw formation energy: -0.65 eV per atom
* crystal system: triclinic
* total magnetization: 0.0 μB per cell
* E above lowest polymorph: 0.115 eV/f.u.



# 15
Here is an optimized crystal structure of Sr3CdAu from the Alexandria database. Energies are from GGA-PBE.

Structure (POSCAR):
```
Sr3CdAu
1.0
5.712 0.000 0.000
0.787 7.605 0.000
0.604 0.041 8.901
Sr Cd Au
6 2 2
Direct
0.000 0.000 0.000
0.020 0.520 0.201
0.044 0.335 0.644
0.076 0.828 0.559
0.537 0.608 0.859
0.585 0.211 0.381
0.481 0.798 0.224
0.533 0.073 0.765
0.110 0.116 0.315
0.630 0.600 0.497
```

Output
* crystal system: triclinic
* ΔH_f (0 K): -8.33 kcal/mol of atoms
* total magnetization: 0.0 μB per cell
* E above lowest polymorph: 0.298 eV/f.u.



# 16
Here is an optimized crystal structure of CaNd2SmY4 from the Alexandria database. Energies are from GGA-PBE.

Structure (POSCAR):
```
CaNd2SmY4
1.0
6.955 -6.745 0.000
6.955 6.745 0.000
-3.425 0.000 5.996
Ca Nd Sm Y
2 4 2 8
Direct
0.000 0.000 0.000
0.000 0.000 0.500
0.000 0.500 0.000
0.500 0.000 0.500
0.500 0.500 0.000
0.500 0.500 0.500
0.000 0.500 0.500
0.500 0.000 0.000
0.250 0.750 0.501
0.250 0.750 0.999
0.261 0.262 0.513
0.262 0.261 0.013
0.738 0.739 0.987
0.739 0.738 0.487
0.750 0.250 0.001
0.750 0.250 0.499
```

Output
* crystal system: monoclinic
* ΔH_f (0 K): 9.51 kcal/mol of atoms
* total magnetization: 4.9 μB per cell



# 17
Here is an optimized crystal structure of TmGaPb2 from the Alexandria database. Energies are from GGA-PBE.

Structure (POSCAR):
```
TmGaPb2
1.0
4.648 0.000 0.000
0.000 4.648 0.000
0.000 0.000 4.780
Tm Ga Pb
1 1 2
Direct
0.000 0.000 0.000
0.500 0.500 0.000
0.000 0.500 0.500
0.500 0.000 0.500
```

Output
* crystal system: tetragonal
* ΔH_f (0 K): -5.78 kcal/mol of atoms
* total magnetization: 0.0 μB per cell
* E above lowest polymorph: 0.000 eV/f.u.



# 18
Here is an optimized crystal structure of LiHgHPb2 from the Alexandria database. Energies are from GGA-PBE.

Structure (POSCAR):
```
LiHgHPb2
1.0
5.378 0.000 0.000
0.000 5.378 0.000
0.000 0.000 3.711
Li Hg H Pb
1 1 1 2
Direct
0.000 0.000 0.000
0.500 0.500 0.000
0.000 0.000 0.500
0.000 0.500 0.500
0.500 0.000 0.500
```

Output
* crystal system: tetragonal
* total magnetization: 0.0 μB per cell
* VASP energy: -2.582 eV/atom



# 19
Here is an optimized crystal structure of LaTbNd5 from the Alexandria database. Energies are from GGA-PBE.

Structure (POSCAR):
```
LaTbNd5
1.0
5.897 0.000 0.000
0.000 8.811 0.000
0.000 0.000 12.117
La Tb Nd
2 2 10
Direct
0.000 0.000 0.000
0.500 0.500 0.500
0.000 0.000 0.500
0.500 0.500 0.000
0.000 0.000 0.250
0.000 0.000 0.750
0.000 0.323 0.000
0.000 0.500 0.500
0.000 0.677 0.000
0.500 0.000 0.000
0.500 0.177 0.500
0.500 0.500 0.250
0.500 0.500 0.750
0.500 0.823 0.500
```

Output
* crystal system: orthorhombic
* ΔH_f (0 K): 21.86 kcal/mol of atoms
* total magnetization: 0.1 μB per cell



# 20
Here is an optimized crystal structure of Dy2BiTe2 from the Alexandria database. Energies are from GGA-PBE.

Structure (POSCAR):
```
Dy2BiTe2
1.0
5.435 -5.865 0.000
5.435 5.865 0.000
-2.933 0.000 5.173
Dy Bi Te
4 2 4
Direct
0.108 0.892 0.750
0.336 0.664 0.250
0.664 0.336 0.750
0.892 0.108 0.250
0.378 0.622 0.750
0.622 0.378 0.250
0.072 0.290 0.890
0.290 0.072 0.390
0.710 0.928 0.610
0.928 0.710 0.110
```

Output
* raw formation energy: -0.88 eV per atom
* crystal system: monoclinic
* total magnetization: 0.0 μB per cell



# 21
Here is an optimized crystal structure of Sm5CdBi4 from the Alexandria database. Energies are from GGA-PBE.

Structure (POSCAR):
```
Sm5CdBi4
1.0
-5.081 5.081 3.209
5.081 -5.081 3.209
5.081 5.081 -3.209
Sm Cd Bi
5 1 4
Direct
0.000 0.000 0.000
0.194 0.396 0.588
0.396 0.808 0.203
0.606 0.194 0.797
0.808 0.606 0.412
0.500 0.500 0.000
0.102 0.702 0.802
0.300 0.102 0.400
0.702 0.900 0.600
0.900 0.300 0.198
```

Output
* crystal system: tetragonal
* ΔH_f (0 K): -16.54 kcal/mol of atoms
* total magnetization: 0.0 μB per cell



# 22
Here is an optimized crystal structure of Nd3Y2Er2 from the Alexandria database. Energies are from GGA-PBE.

Structure (POSCAR):
```
Nd3Y2Er2
1.0
17.635 0.000 0.000
0.000 3.526 0.000
-4.131 0.000 7.531
Nd Y Er
6 4 4
Direct
0.000 0.000 0.000
0.213 0.000 0.298
0.287 0.500 0.702
0.500 0.500 0.000
0.713 0.500 0.298
0.787 0.000 0.702
0.065 0.500 0.410
0.435 0.000 0.590
0.565 0.000 0.410
0.935 0.500 0.590
0.144 0.000 0.825
0.356 0.500 0.175
0.644 0.500 0.825
0.856 0.000 0.175
```

Output
* crystal system: monoclinic
* ΔH_f (0 K): 2.62 kcal/mol of atoms
* total magnetization: 0.0 μB per cell
* E above lowest polymorph: 0.674 eV/f.u.



# 23
Here is an optimized crystal structure of TmV2Pd9 from the Alexandria database. Energies are from GGA-PBE.

Structure (POSCAR):
```
TmV2Pd9
1.0
3.962 0.000 0.000
0.000 3.962 0.000
0.000 0.000 11.894
Tm V Pd
1 2 9
Direct
0.000 0.000 0.000
0.000 0.000 0.336
0.000 0.000 0.664
0.000 0.500 0.180
0.000 0.500 0.500
0.000 0.500 0.820
0.500 0.000 0.180
0.500 0.000 0.500
0.500 0.000 0.820
0.500 0.500 0.000
0.500 0.500 0.340
0.500 0.500 0.660
```

Output
* crystal system: tetragonal
* ΔH_f (0 K): -10.51 kcal/mol of atoms
* total magnetization: 1.8 μB per cell



# 24
Here is an optimized crystal structure of CaPmCuAu from the Alexandria database. Energies are from GGA-PBE.

Structure (POSCAR):
```
CaPmCuAu
1.0
7.220 0.000 0.000
0.000 7.220 0.000
0.000 0.000 7.220
Ca Pm Cu Au
4 4 4 4
Direct
0.000 0.000 0.000
0.000 0.500 0.500
0.500 0.000 0.500
0.500 0.500 0.000
0.000 0.000 0.500
0.000 0.500 0.000
0.500 0.000 0.000
0.500 0.500 0.500
0.250 0.250 0.250
0.250 0.750 0.750
0.750 0.250 0.750
0.750 0.750 0.250
0.250 0.250 0.750
0.250 0.750 0.250
0.750 0.250 0.250
0.750 0.750 0.750
```

Output
* crystal system: cubic
* ΔH_f (0 K): -10.93 kcal/mol of atoms
* total magnetization: 0.0 μB per cell
* E above lowest polymorph: 0.055 eV/f.u.



# 25
Here is an optimized crystal structure of RuICl3 from the Alexandria database. Energies are from GGA-PBE.

Structure (POSCAR):
```
RuICl3
1.0
6.370 0.000 0.000
0.000 7.568 0.000
0.000 0.000 5.778
Ru I Cl
2 2 6
Direct
0.000 0.003 0.000
0.500 0.997 0.500
0.000 0.301 0.232
0.500 0.699 0.732
0.000 0.735 0.792
0.248 0.868 0.249
0.252 0.132 0.749
0.500 0.265 0.292
0.748 0.132 0.749
0.752 0.868 0.249
```

Output
* raw formation energy: -0.31 eV per atom
* crystal system: orthorhombic
* total magnetization: 2.0 μB per cell
* E above lowest polymorph: 0.146 eV/f.u.